(1)
Density functional theory data (PBE) for a relaxed Tb2DySc9 crystal.

## Properties
Size of the total moment in μB/f.u.: 2.337
Total energy in eV for the cell shown: -67.73
Symmetry: R-3m, No. 166
Crystal system: trigonal
Calculated formation energy in eV per atom: 0.26

Cell lengths 10.0887, 10.0887, 10.0887 Å; angles 36.96, 36.96, 36.96 degrees
Last column: nearest neighbours and their distance in Å.
Fractional coordinates of all 12 atoms:
Tb: 0.1349 0.1349 0.1349  12 Sc 3.46-3.80, 1 Dy 3.80
Tb: 0.8651 0.8651 0.8651  12 Sc 3.46-3.80, 1 Dy 3.80
Dy: 0.0000 0.0000 0.0000  18 Sc 3.69-4.05, 2 Tb 3.80
Sc: 0.0751 0.5944 0.5944  5 Sc 2.93-3.10
Sc: 0.3349 0.3349 0.3349  6 Sc 3.08-3.10
Sc: 0.4056 0.4056 0.9249  5 Sc 2.93-3.10
Sc: 0.4056 0.9249 0.4056  5 Sc 2.93-3.10
Sc: 0.5000 0.5000 0.5000  6 Sc 2.93
Sc: 0.5944 0.0751 0.5944  5 Sc 2.93-3.10
Sc: 0.5944 0.5944 0.0751  5 Sc 2.93-3.10
Sc: 0.6651 0.6651 0.6651  6 Sc 3.08-3.10
Sc: 0.9249 0.4056 0.4056  5 Sc 2.93-3.10

(2)
Density functional theory data (PBE) for a relaxed Al5Si crystal.

## Properties
Size of the total moment in μB/f.u.: 0.000
Total energy in eV for the cell shown: -23.64
Symmetry: Cm, No. 8
Formation energy (no corrections) in eV per atom: 0.082
Crystal system: monoclinic
Offset from the most stable computed form in meV/atom: 25.8

Cell lengths 5.4439, 5.4439, 6.7233 Å; angles 105.15, 105.15, 30.48 degrees
Last column: nearest neighbours and their distance in Å.
Fractional coordinates of all 6 atoms:
Al: 0.0000 0.0000 0.0000  10 Al 2.80-2.86, 2 Si 2.84
Al: 0.0516 0.0516 0.6130  9 Al 2.80-2.86, 3 Si 2.83-2.86
Al: 0.3873 0.3873 0.2800  1 Si 2.82, 11 Al 2.82-2.86
Al: 0.6649 0.6649 0.3382  2 Si 2.81, 10 Al 2.83-2.88
Al: 0.7227 0.7227 0.9430  2 Si 2.82, 10 Al 2.83-2.88
Si: 0.3311 0.3311 0.6667  10 Al 2.81-2.86, 2 Si 2.86

(3)
Density functional theory data (PBE) for a relaxed TbCoH crystal.

## Properties
Size of the total moment in μB/f.u.: 0.000
Total energy in eV for the cell shown: -14.94
Symmetry: P-6m2, No. 187
Crystal system: hexagonal
Offset from the most stable computed form in meV/atom: 430.3

Cell lengths 3.6497, 3.6497, 3.5749 Å; angles 90.00, 90.00, 120.00 degrees
Last column: nearest neighbours and their distance in Å.
Fractional coordinates of all 3 atoms:
Tb: 0.0000 0.0000 0.0000  6 H 2.76, 6 Co 2.76
Co: 0.6667 0.3333 0.5000  3 H 2.11
H: 0.3333 0.6667 0.5000  3 Co 2.11

(4)
Density functional theory data (PBE) for a relaxed CsOsN3 crystal.

## Properties
Size of the total moment in μB/f.u.: 4.455
Total energy in eV for the cell shown: -16.93
Symmetry: Pm-3m, No. 221
Formation energy (no corrections) in eV per atom: 4.025
Crystal system: cubic

Cell lengths 4.2967, 4.2967, 4.2967 Å; angles 90.00, 90.00, 90.00 degrees
Last column: nearest neighbours and their distance in Å.
Fractional coordinates of all 5 atoms:
Cs: 0.0000 0.0000 0.0000  6 N 2.15
Os: 0.5000 0.5000 0.5000  12 N 3.04
N: 0.0000 0.0000 0.5000  2 Cs 2.15
N: 0.0000 0.5000 0.0000  2 Cs 2.15
N: 0.5000 0.0000 0.0000  2 Cs 2.15

(5)
Density functional theory data (PBE) for a relaxed La6TbCePr2 crystal.

## Properties
Size of the total moment in μB/f.u.: 0.864
Total energy in eV for the cell shown: -47.67
Symmetry: C2/m, No. 12
Crystal system: monoclinic
Calculated formation energy in eV per atom: 0.20

Cell lengths 6.8662, 6.8662, 10.0084 Å; angles 115.03, 115.03, 61.06 degrees
Last column: nearest neighbours and their distance in Å.
Fractional coordinates of all 10 atoms:
La: 0.0375 0.5890 0.1789  2 La 3.13-3.15, 2 Pr 3.43-3.46, 1 Tb 3.45
La: 0.1464 0.1464 0.4166  1 Ce 3.65, 3 Pr 3.68-3.97, 2 La 3.80, 1 Tb 3.84
La: 0.4110 0.9625 0.8211  2 La 3.13-3.15, 2 Pr 3.43-3.46, 1 Tb 3.45
La: 0.5890 0.0375 0.1789  2 La 3.13-3.15, 2 Pr 3.43-3.46, 1 Tb 3.45
La: 0.8536 0.8536 0.5834  1 Ce 3.65, 3 Pr 3.68-3.97, 2 La 3.80, 1 Tb 3.84
La: 0.9625 0.4110 0.8211  2 La 3.13-3.15, 2 Pr 3.43-3.46, 1 Tb 3.45
Tb: 0.5000 0.5000 0.5000  2 Pr 3.45, 6 La 3.45-3.84
Ce: 0.0000 0.0000 0.0000  10 La 3.65-3.80, 4 Pr 3.90
Pr: 0.4357 0.4357 0.8005  5 La 3.43-3.68, 1 Tb 3.45, 1 Pr 3.51
Pr: 0.5643 0.5643 0.1995  5 La 3.43-3.68, 1 Tb 3.45, 1 Pr 3.51

(6)
Density functional theory data (PBE) for a relaxed CoTcSe2 crystal.

## Properties
Size of the total moment in μB/f.u.: 1.719
Total energy in eV for the cell shown: -22.08
Symmetry: Pmmm, No. 47
Formation energy (no corrections) in eV per atom: 0.591
Crystal system: orthorhombic
Offset from the most stable computed form in meV/atom: 862.5

Cell lengths 3.0954, 3.8456, 5.6525 Å; angles 90.00, 90.00, 90.00 degrees
Last column: nearest neighbours and their distance in Å.
Fractional coordinates of all 4 atoms:
Co: 0.0000 0.0000 0.0000  4 Se 2.47
Tc: 0.5000 0.0000 0.5000  4 Se 2.47
Se: 0.0000 0.5000 0.5000  4 Tc 2.47
Se: 0.5000 0.5000 0.0000  4 Co 2.47

(7)
Density functional theory data (PBE) for a relaxed Ho4CSe2Cl crystal.

## Properties
Size of the total moment in μB/f.u.: 0.000
Total energy in eV for the cell shown: -47.15
Symmetry: P2/m, No. 10
Formation energy (no corrections) in eV per atom: -1.350
Crystal system: monoclinic

Cell lengths 6.8262, 3.8267, 6.8730 Å; angles 90.00, 108.22, 90.00 degrees
Last column: nearest neighbours and their distance in Å.
Fractional coordinates of all 8 atoms:
Ho: 0.2067 0.0000 0.2051  2 C 2.53, 1 Se 2.79, 1 Cl 2.81
Ho: 0.2238 0.5000 0.7808  1 C 2.46
Ho: 0.7762 0.5000 0.2192  1 C 2.46
Ho: 0.7933 0.0000 0.7949  2 C 2.53, 1 Se 2.79, 1 Cl 2.81
C: 0.0000 0.5000 0.0000  6 Ho 2.46-2.53
Se: 0.5000 0.0000 0.0000  6 Ho 2.78-2.79
Se: 0.5000 0.5000 0.5000  6 Ho 3.04-3.09
Cl: 0.0000 0.0000 0.5000  6 Ho 2.81

(8)
Density functional theory data (PBE) for a relaxed Cr2NiAu crystal.

## Properties
Size of the total moment in μB/f.u.: 7.275
Total energy in eV for the cell shown: -26.87
Symmetry: Fm-3m, No. 225
Crystal system: cubic
Calculated formation energy in eV per atom: 0.36
Offset from the most stable computed form in meV/atom: 218.5

Cell lengths 4.3675, 4.3675, 4.3675 Å; angles 60.00, 60.00, 60.00 degrees
Last column: nearest neighbours and their distance in Å.
Fractional coordinates of all 4 atoms:
Cr: 0.2500 0.2500 0.2500  4 Ni 2.67, 4 Au 2.67
Cr: 0.7500 0.7500 0.7500  4 Ni 2.67, 4 Au 2.67
Ni: 0.0000 0.0000 0.0000  8 Cr 2.67
Au: 0.5000 0.5000 0.5000  8 Cr 2.67